Here is a geometry-optimized PaTl2Mo3O12 structure from Alexandria. Energies are from PBE+U.

Total DFT energy (no corrections) ... -7.11 eV/atom

CIF file:
```
data_PaTl2Mo3O12
_space_group_name_H-M_alt 'R -3 m'
_space_group_IT_number 166
_space_group_name_Hall '-R 3 2"'
_cell_length_a 7.4447
_cell_length_b 7.4447
_cell_length_c 19.2545
_cell_angle_alpha 90.00
_cell_angle_beta 90.00
_cell_angle_gamma 120.00
loop_
_atom_site_label
_atom_site_fract_x
_atom_site_fract_y
_atom_site_fract_z
Pa1 0.0000 0.0000 0.0000
Tl1 0.0000 0.0000 0.3317
Mo1 0.0000 0.5000 0.5000
O1 0.0583 0.5291 0.6004
O2 0.0921 0.5461 0.8468
```